[1]
## ZrTc2 (GGA-PBE)

Data for a relaxed structure of ZrTc2.

For the total DFT energy (no corrections), the calculation gives -57.48 eV/cell. The value obtained for the formation energy is 0.18 eV/atom. For the density of states at the Fermi level, the calculation gives 10.00 states/eV/cell. For the total magnetic moment, the calculation gives 0.00 Bohr magnetons per cell. The excess energy over the best structure of this formula in the dataset is 492 meV per atom.

Lattice parameters (Å, degrees): 4.7382 4.7382 5.2558 90.00 90.00 120.00
Closest atoms and distances in Å follow each position.
Positions (direct):
Zr (0.3333, 0.6667, 0.2500)  5 Tc 2.63-2.74
Zr (0.6667, 0.3333, 0.7500)  5 Tc 2.63-2.74
Tc (0.0000, 0.0000, 0.0000)  2 Tc 2.63
Tc (0.0000, 0.0000, 0.5000)  2 Tc 2.63
Tc (0.3333, 0.6667, 0.7500)  5 Zr 2.63-2.74
Tc (0.6667, 0.3333, 0.2500)  5 Zr 2.63-2.74

***

[2]
## ThAl12Pd4 (GGA-PBE)

Data for a relaxed structure of ThAl12Pd4.

For the total DFT energy (no corrections), the calculation gives -76.56 eV/cell. The value obtained for the formation energy is -0.20 eV/atom. For the density of states at the Fermi level, the calculation gives 11.98 states/eV/cell. For the total magnetic moment, the calculation gives 0.00 Bohr magnetons per cell.

Lattice parameters (Å, degrees): 7.5967 7.5967 7.5967 109.47 109.47 109.47
Closest atoms and distances in Å follow each position.
Positions (direct):
Th (0.0000, 0.0000, 0.0000)  12 Al 3.32
Al (0.1581, 0.3436, 0.5017)  2 Pd 2.48, 2 Al 2.74-2.77
Al (0.1581, 0.6564, 0.8144)  2 Pd 2.48, 2 Al 2.74-2.77
Al (0.1856, 0.8419, 0.3436)  2 Pd 2.48, 2 Al 2.74-2.77
Al (0.3436, 0.1856, 0.8419)  2 Pd 2.48, 2 Al 2.74-2.77
Al (0.3436, 0.5017, 0.1581)  2 Pd 2.48, 2 Al 2.74-2.77
Al (0.4983, 0.8419, 0.6564)  2 Pd 2.48, 2 Al 2.74-2.77
Al (0.5017, 0.1581, 0.3436)  2 Pd 2.48, 2 Al 2.74-2.77
Al (0.6564, 0.4983, 0.8419)  2 Pd 2.48, 2 Al 2.74-2.77
Al (0.6564, 0.8144, 0.1581)  2 Pd 2.48, 2 Al 2.74-2.77
Al (0.8144, 0.1581, 0.6564)  2 Pd 2.48, 2 Al 2.74-2.77
Al (0.8419, 0.3436, 0.1856)  2 Pd 2.48, 2 Al 2.74-2.77
Al (0.8419, 0.6564, 0.4983)  2 Pd 2.48, 2 Al 2.74-2.77
Pd (0.0000, 0.0000, 0.5000)  6 Al 2.48
Pd (0.0000, 0.5000, 0.0000)  6 Al 2.48
Pd (0.5000, 0.0000, 0.0000)  6 Al 2.48
Pd (0.5000, 0.5000, 0.5000)  6 Al 2.48

***

[3]
## Pm2Cu2Cl (GGA-PBE)

Data for a relaxed structure of Pm2Cu2Cl.

For the total DFT energy (no corrections), the calculation gives -23.12 eV/cell. The raw formation energy is -3.58 eV/f.u. For the density of states at the Fermi level, the calculation gives 4.44 states/eV/cell. For the total magnetic moment, the calculation gives 0.00 Bohr magnetons per cell.

Lattice parameters (Å, degrees): 4.1860 4.1860 8.0328 105.45 105.45 59.11
Closest atoms and distances in Å follow each position.
Positions (direct):
Pm (0.0802, 0.0802, 0.2360)  6 Cu 2.98-3.04, 3 Cl 3.14
Pm (0.9198, 0.9198, 0.7640)  6 Cu 2.98-3.04, 3 Cl 3.14
Cu (0.3335, 0.3335, 0.9971)  3 Cu 2.40-2.41
Cu (0.6665, 0.6665, 0.0029)  3 Cu 2.40-2.41
Cl (0.5000, 0.5000, 0.5000)  6 Pm 3.14

***

[4]
## Er3CdHg7 (GGA-PBE)

Data for a relaxed structure of Er3CdHg7.

For the total DFT energy (no corrections), the calculation gives -37.03 eV/cell. The value obtained for the formation energy is -0.16 eV/atom. For the density of states at the Fermi level, the calculation gives 15.05 states/eV/cell. For the total magnetic moment, the calculation gives 0.00 Bohr magnetons per cell.

Lattice parameters (Å, degrees): 16.6742 16.6742 11.1201 90.00 90.00 167.80
Closest atoms and distances in Å follow each position.
Positions (direct):
Er (0.0633, 0.9367, 0.5654)  8 Hg 3.09-3.19
Er (0.0633, 0.9367, 0.9346)  8 Hg 3.09-3.19
Er (0.1766, 0.8234, 0.2500)  8 Hg 3.08-3.20, 1 Cd 3.21
Er (0.8234, 0.1766, 0.7500)  8 Hg 3.08-3.20, 1 Cd 3.21
Er (0.9367, 0.0633, 0.0654)  8 Hg 3.09-3.19
Er (0.9367, 0.0633, 0.4346)  8 Hg 3.09-3.19
Cd (0.0798, 0.9202, 0.2500)  8 Hg 3.13-3.27, 1 Er 3.21
Cd (0.9202, 0.0798, 0.7500)  8 Hg 3.13-3.27, 1 Er 3.21
Hg (0.2730, 0.7270, 0.5806)  3 Hg 2.95-3.22, 2 Er 3.08
Hg (0.2730, 0.7270, 0.9194)  3 Hg 2.95-3.22, 2 Er 3.08
Hg (0.3697, 0.6303, 0.5537)  4 Er 3.13-3.20, 2 Hg 3.22-3.46, 2 Cd 3.27
Hg (0.3697, 0.6303, 0.9463)  4 Er 3.13-3.20, 2 Hg 3.22-3.46, 2 Cd 3.27
Hg (0.3920, 0.6080, 0.2500)  4 Er 3.09, 2 Hg 3.46
Hg (0.4856, 0.5144, 0.6240)  2 Hg 2.80-2.92, 2 Cd 3.13
Hg (0.4856, 0.5144, 0.8760)  2 Hg 2.80-2.92, 2 Cd 3.13
Hg (0.5144, 0.4856, 0.1240)  2 Hg 2.80-2.92, 2 Cd 3.13
Hg (0.5144, 0.4856, 0.3760)  2 Hg 2.80-2.92, 2 Cd 3.13
Hg (0.6080, 0.3920, 0.7500)  4 Er 3.09, 2 Hg 3.46
Hg (0.6303, 0.3697, 0.0537)  4 Er 3.13-3.20, 2 Hg 3.22-3.46, 2 Cd 3.27
Hg (0.6303, 0.3697, 0.4463)  4 Er 3.13-3.20, 2 Hg 3.22-3.46, 2 Cd 3.27
Hg (0.7270, 0.2730, 0.0806)  3 Hg 2.95-3.22, 2 Er 3.08
Hg (0.7270, 0.2730, 0.4194)  3 Hg 2.95-3.22, 2 Er 3.08

***

[5]
## CaCuRh2 (GGA-PBE)

Data for a relaxed structure of CaCuRh2.

For the total DFT energy (no corrections), the calculation gives -20.90 eV/cell. The value obtained for the formation energy is -0.02 eV/atom. For the density of states at the Fermi level, the calculation gives 5.20 states/eV/cell. For the total magnetic moment, the calculation gives 0.33 Bohr magnetons per cell. The excess energy over the best structure of this formula in the dataset is 18 meV per atom.

Lattice parameters (Å, degrees): 3.9936 3.9936 4.0699 90.00 90.00 90.00
Closest atoms and distances in Å follow each position.
Positions (direct):
Ca (0.0000, 0.0000, 0.0000)  4 Cu 2.82, 8 Rh 2.85
Cu (0.5000, 0.5000, 0.0000)  4 Ca 2.82, 8 Rh 2.85
Rh (0.0000, 0.5000, 0.5000)  4 Rh 2.82, 4 Cu 2.85, 4 Ca 2.85
Rh (0.5000, 0.0000, 0.5000)  4 Rh 2.82, 4 Cu 2.85, 4 Ca 2.85

***

[6]
## TaV3S (GGA-PBE)

Data for a relaxed structure of TaV3S.

For the total DFT energy (no corrections), the calculation gives -87.90 eV/cell. The raw formation energy is -0.61 eV/f.u. For the density of states at the Fermi level, the calculation gives 5.01 states/eV/cell. For the total magnetic moment, the calculation gives 0.00 Bohr magnetons per cell. The excess energy over the best structure of this formula in the dataset is 0 meV per atom.

Lattice parameters (Å, degrees): 6.0635 4.9545 5.0677 90.00 90.00 90.00
Closest atoms and distances in Å follow each position.
Positions (direct):
Ta (0.0000, 0.1927, 0.0000)  1 S 2.32, 1 V 2.59
Ta (0.5000, 0.8073, 0.5000)  1 S 2.32, 1 V 2.59
V (0.0000, 0.8370, 0.6265)  1 S 2.18
V (0.2500, 0.2586, 0.5496)  2 S 2.31-2.32
V (0.2500, 0.7414, 0.0496)  2 S 2.31-2.32
V (0.5000, 0.1630, 0.1265)  1 S 2.18
V (0.7500, 0.2586, 0.5496)  2 S 2.31-2.32
V (0.7500, 0.7414, 0.0496)  2 S 2.31-2.32
S (0.0000, 0.5253, 0.3226)  5 V 2.18-2.32, 1 Ta 2.32
S (0.5000, 0.4747, 0.8226)  5 V 2.18-2.32, 1 Ta 2.32